# 1
Below is CdOs2O8 after structural relaxation, with properties calculated at the PBE level.

Total energy in eV per cell: -72.814
Formation energy (no corrections) in eV/atom: -0.89

Cell lengths 6.485, 6.113, 6.113 Å; angles 120.00, 90.00, 90.00 degrees
Sites, in units of the cell vectors:
Cd 0.500 0.000 0.000
Os 0.794 0.667 0.333
Os 0.206 0.333 0.667
O 0.937 0.333 0.667
O 0.063 0.667 0.333
O 0.296 0.176 0.351
O 0.704 0.824 0.649
O 0.704 0.351 0.176
O 0.296 0.649 0.824
O 0.296 0.176 0.824
O 0.704 0.824 0.176



# 2
Below is K2Tl2SnCl6 after structural relaxation, with properties calculated at the PBE level.

Total energy in eV per cell: -36.963
Formation energy (no corrections) in eV/atom: -1.36

Cell lengths 7.671, 7.671, 7.793 Å; angles 100.00, 100.00, 117.67 degrees
Sites, in units of the cell vectors:
K 0.340 0.660 0.500
K 0.660 0.340 0.500
Tl 0.823 0.177 0.000
Tl 0.177 0.823 0.000
Sn 0.000 0.000 0.500
Cl 0.783 0.783 0.730
Cl 0.065 0.382 0.721
Cl 0.217 0.217 0.270
Cl 0.382 0.065 0.721
Cl 0.935 0.618 0.279
Cl 0.618 0.935 0.279



Q: Among the records above, which one has the highest total energy?
A: K2Tl2SnCl6



Q: formation energy (no corrections) of number 1 (CdOs2O8)?
A: -0.89 eV/atom



What did the first record say?
Below is CdOs2O8 after structural relaxation, with properties calculated at the PBE level.

Total energy in eV per cell: -72.814
Formation energy (no corrections) in eV/atom: -0.89

Cell lengths 6.485, 6.113, 6.113 Å; angles 120.00, 90.00, 90.00 degrees
Sites, in units of the cell vectors:
Cd 0.500 0.000 0.000
Os 0.794 0.667 0.333
Os 0.206 0.333 0.667
O 0.937 0.333 0.667
O 0.063 0.667 0.333
O 0.296 0.176 0.351
O 0.704 0.824 0.649
O 0.704 0.351 0.176
O 0.296 0.649 0.824
O 0.296 0.176 0.824
O 0.704 0.824 0.176



Q: Look up the formation energy (no corrections) of the second one.
A: -1.36 eV/atom